(1)
# Nd3Ga4Cu PBE optimized geometry
# Space group ... No. 71
# Energy of formation ... -0.322 eV per atom
# V ... 25.29 Å³/atom
# Uncorrected energy ... -33.1 eV/cell
data_Nd3Ga4Cu
_chemical_formula_sum 'Nd3 Ga4 Cu1'
_space_group_name_H-M_alt 'P 1'
_space_group_IT_number 1
_cell_length_a 9.001
_cell_length_b 9.001
_cell_length_c 9.001
_cell_angle_alpha 150.36
_cell_angle_beta 145.74
_cell_angle_gamma 45.92
loop_
_space_group_symop_operation_xyz
'x,y,z'
loop_
_atom_site_label
_atom_site_fract_x
_atom_site_fract_y
_atom_site_fract_z
_atom_site_occupancy
Nd1 0.000 0.000 0.000 1
Nd2 0.292 0.792 0.500 1
Nd3 0.708 0.208 0.500 1
Ga1 0.120 0.382 0.738 1
Ga2 0.356 0.618 0.738 1
Ga3 0.644 0.382 0.262 1
Ga4 0.880 0.618 0.262 1
Cu1 0.500 0.500 0.000 1

(2)
# NdGa7Cu5 PBE optimized geometry
# Space group ... No. 44
# Energy of formation ... -0.266 eV per atom
# V ... 15.60 Å³/atom
# Uncorrected energy ... -49.9 eV/cell
data_NdGa7Cu5
_chemical_formula_sum 'Nd1 Ga7 Cu5'
_space_group_name_H-M_alt 'P 1'
_space_group_IT_number 1
_cell_length_a 6.751
_cell_length_b 6.751
_cell_length_c 6.751
_cell_angle_alpha 134.33
_cell_angle_beta 97.39
_cell_angle_gamma 99.94
loop_
_space_group_symop_operation_xyz
'x,y,z'
loop_
_atom_site_label
_atom_site_fract_x
_atom_site_fract_y
_atom_site_fract_z
_atom_site_occupancy
Nd1 0.000 0.000 0.000 1
Ga1 0.193 0.491 0.703 1
Ga2 0.229 0.729 0.500 1
Ga3 0.352 0.352 0.000 1
Ga4 0.355 0.008 0.347 1
Ga5 0.652 0.652 0.000 1
Ga6 0.661 0.008 0.653 1
Ga7 0.788 0.491 0.297 1
Cu1 0.496 0.500 0.501 1
Cu2 0.496 0.995 0.996 1
Cu3 0.769 0.269 0.500 1
Cu4 0.998 0.500 0.004 1
Cu5 0.998 0.995 0.499 1

(3)
# NdGa5Cu2 PBE optimized geometry
# Space group ... No. 71
# Energy of formation ... -0.318 eV per atom
# V ... 17.70 Å³/atom
# Uncorrected energy ... -30.6 eV/cell
data_NdGa5Cu2
_chemical_formula_sum 'Nd1 Ga5 Cu2'
_space_group_name_H-M_alt 'P 1'
_space_group_IT_number 1
_cell_length_a 6.399
_cell_length_b 6.399
_cell_length_c 6.399
_cell_angle_alpha 143.09
_cell_angle_beta 112.63
_cell_angle_gamma 79.37
loop_
_space_group_symop_operation_xyz
'x,y,z'
loop_
_atom_site_label
_atom_site_fract_x
_atom_site_fract_y
_atom_site_fract_z
_atom_site_occupancy
Nd1 0.000 0.000 0.000 1
Ga1 0.161 0.353 0.809 1
Ga2 0.456 0.647 0.809 1
Ga3 0.500 0.000 0.500 1
Ga4 0.544 0.353 0.191 1
Ga5 0.839 0.647 0.191 1
Cu1 0.253 0.753 0.500 1
Cu2 0.747 0.247 0.500 1